Ac5Pr12Pa3: optimized geometry, PBE.

The structure in CIF format:
```
data_Ac5Pr12Pa3
_symmetry_space_group_name_H-M 'I a -3 d'
_symmetry_Int_Tables_number 230
_symmetry_space_group_name_Hall '-I 4bd 2c 3'
_cell_length_a 19.117
_cell_length_b 19.117
_cell_length_c 19.117
_cell_angle_alpha 90.00
_cell_angle_beta 90.00
_cell_angle_gamma 90.00
loop_
_atom_site_label
_atom_site_type_symbol
_atom_site_fract_x
_atom_site_fract_y
_atom_site_fract_z
Ac1 Ac 0.000 0.000 0.000
Ac2 Ac 0.000 0.250 0.375
Pr1 Pr 0.009 0.093 0.648
Pa1 Pa 0.000 0.250 0.125
```

Summary:
* formation energy from the elements: 1.03 eV/atom

AcPa2Pt4: optimized geometry, PBE.

The structure in CIF format:
```
data_AcPa2Pt4
_symmetry_space_group_name_H-M 'C m c m'
_symmetry_Int_Tables_number 63
_symmetry_space_group_name_Hall '-C 2c 2'
_cell_length_a 5.538
_cell_length_b 7.607
_cell_length_c 15.894
_cell_angle_alpha 90.00
_cell_angle_beta 90.00
_cell_angle_gamma 90.00
loop_
_atom_site_label
_atom_site_type_symbol
_atom_site_fract_x
_atom_site_fract_y
_atom_site_fract_z
Ac1 Ac 0.000 0.053 0.250
Pa1 Pa 0.000 0.320 0.584
Pt1 Pt 0.000 0.000 0.000
Pt2 Pt 0.000 0.309 0.097
Pt3 Pt 0.000 0.486 0.750
```

Summary:
* formation energy from the elements: -0.90 eV/atom

Let's list electronic total energy in order: -4.29; -7.65 eV/atom.